Compound: Ir4RuW2
Source: Alexandria
Functional: PBE-GGA
Structure: relaxed

- Fermi-level density of states (states/eV/atom) = 0.837
- VASP energy (eV/atom) = -9.808
- energy relative to the elements (eV per atom) = 0.282
- space-group type = Fmmm

Lattice parameters (Å, degrees): 6.452 7.108 7.108 108.19 112.26 112.26
Fractional positions:
W 0.784 0.142 0.642
W 0.216 0.858 0.358
W 0.500 0.655 0.845
W 0.500 0.345 0.155
Ir 0.500 0.682 0.493
Ir 0.500 0.007 0.818
Ir 0.224 0.195 0.695
Ir 0.500 0.993 0.182
Ir 0.500 0.318 0.507
Ir 0.776 0.471 0.971
Ir 0.224 0.529 0.029
Ir 0.776 0.805 0.305
Ru 0.000 0.250 0.250
Ru 0.000 0.750 0.750